VASP calculation (PBE with a Hubbard U) on a relaxed structure of RbCo2HgF8.

It has space group P-1 (No. 2), with a = 5.224 Å, b = 5.417 Å, c = 6.611 Å, α = 89.39°, β = 89.38° and γ = 88.55°. Symmetry generates all atoms from Rb at (0.000, 0.000, 0.000), Co at (0.500, 0.500, 0.253), Hg at (0.000, 0.000, 0.500), F at (0.264, 0.774, 0.719), F at (0.269, 0.778, 0.279), F at (0.305, 0.343, 0.501) and F at (0.321, 0.369, 0.004).

The magnetization is 0.583 μB per atom. The calculation puts the energy at -4.137 eV/atom. The theoretical density is 4.94 g cm⁻³.